(1)
{"formula": "BaBIF2", "functional": "PBE", "state": "optimized geometry", "spacegroup": "P4/mmm", "raw_formation_energy_ev_per_atom": -1.087, "cell": [[4.798, 0.000, 0.000], [0.000, 4.735, 0.000], [0.000, 0.000, 4.798]], "species": ["F", "I", "Ba", "B", "F"], "frac_coords": [[0.000, 0.000, 0.500], [0.000, 0.500, 0.000], [0.500, 0.500, 0.500], [0.000, 0.000, 0.000], [0.500, 0.000, 0.000]]}

---

(2)
{"formula": "Ba5BN4F2", "functional": "PBE", "state": "optimized geometry", "spacegroup": "Amm2", "raw_formation_energy_ev_per_atom": -1.021, "cell": [[6.455, 0.000, 0.000], [-3.227, 4.723, 0.000], [0.000, 0.000, 7.937]], "species": ["N", "Ba", "Ba", "Ba", "F", "F", "N", "B", "Ba", "N", "Ba", "N"], "frac_coords": [[0.552, 0.000, 0.831], [0.439, 0.000, 0.500], [0.096, 0.377, 0.209], [0.719, 0.623, 0.791], [0.938, 0.531, 0.500], [0.407, 0.469, 0.500], [0.382, 0.272, 0.000], [0.395, 0.000, 0.000], [0.096, 0.377, 0.791], [0.110, 0.728, 0.000], [0.719, 0.623, 0.209], [0.552, 0.000, 0.169]]}

---

(3)
{"formula": "BaBN2F", "functional": "PBE", "state": "optimized geometry", "de_polymorph_kj_per_mol_fu": 0, "spacegroup": "P4/mmm", "raw_formation_energy_ev_per_atom": -0.421, "cell": [[3.440, 0.000, 0.000], [0.000, 3.440, 0.000], [0.000, 0.000, 5.154]], "species": ["F", "N", "B", "Ba", "N"], "frac_coords": [[0.000, 0.000, 0.500], [0.500, 0.000, 0.000], [0.000, 0.000, 0.000], [0.500, 0.500, 0.500], [0.000, 0.500, 0.000]]}

---

(4)
{"formula": "BaBNF2", "functional": "PBE", "state": "optimized geometry", "de_polymorph_kj_per_mol_fu": 897, "spacegroup": "P4/mmm", "raw_formation_energy_ev_per_atom": 0.056, "cell": [[-3.050, 3.895, 0.526], [-1.911, -2.052, 4.109], [3.968, 2.678, 3.183]], "species": ["B", "Ba", "F", "F", "N"], "frac_coords": [[0.500, 0.500, 0.500], [0.000, 0.000, 0.000], [0.500, 0.000, 0.000], [0.000, 0.500, 0.000], [0.000, 0.000, 0.500]]}

---

(5)
{"formula": "BaBN2F", "functional": "PBE", "state": "optimized geometry", "de_polymorph_kj_per_mol_fu": 959, "spacegroup": "P4/mmm", "raw_formation_energy_ev_per_atom": 1.566, "cell": [[5.480, 0.000, 0.000], [0.000, 5.480, 0.000], [0.000, 0.000, 4.985]], "species": ["Ba", "F", "N", "B", "N"], "frac_coords": [[0.000, 0.000, 0.000], [0.000, 0.000, 0.500], [0.500, 0.000, 0.000], [0.500, 0.500, 0.500], [0.000, 0.500, 0.000]]}

---

(6)
{"formula": "BaBNF2", "functional": "PBE", "state": "optimized geometry", "de_polymorph_kj_per_mol_fu": 0, "spacegroup": "P4/mmm", "raw_formation_energy_ev_per_atom": -1.804, "cell": [[4.673, 0.000, 0.000], [0.000, 4.673, 0.000], [0.000, 0.000, 2.887]], "species": ["N", "B", "Ba", "F", "F"], "frac_coords": [[0.000, 0.000, 0.500], [0.000, 0.000, 0.000], [0.500, 0.500, 0.500], [0.500, 0.000, 0.000], [0.000, 0.500, 0.000]]}

---

(7)
{"formula": "BaNaBF6", "functional": "PBE", "state": "optimized geometry", "spacegroup": "P312", "raw_formation_energy_ev_per_atom": -2.875, "cell": [[5.380, 0.000, 0.000], [2.690, 4.659, 0.000], [0.000, 0.000, 5.178]], "species": ["F", "F", "F", "B", "F", "Na", "F", "Ba", "F"], "frac_coords": [[0.082, 0.581, 0.684], [0.081, 0.337, 0.315], [0.337, 0.082, 0.684], [0.333, 0.333, 0.500], [0.337, 0.581, 0.315], [0.667, 0.667, 0.500], [0.581, 0.082, 0.315], [0.000, 0.000, 0.000], [0.581, 0.337, 0.684]]}

---

(8)
{"formula": "BaNaB2F8", "functional": "PBE", "state": "optimized geometry", "spacegroup": "P-3", "raw_formation_energy_ev_per_atom": -2.860, "cell": [[-4.672, -0.495, -1.312], [3.538, -1.732, -2.877], [-0.396, -8.457, 4.605]], "species": ["F", "F", "B", "F", "Na", "B", "F", "F", "Ba", "F", "F", "F"], "frac_coords": [[0.697, 0.076, 0.338], [0.667, 0.333, 0.142], [0.667, 0.333, 0.293], [0.076, 0.379, 0.662], [0.000, 0.000, 0.500], [0.333, 0.667, 0.707], [0.621, 0.697, 0.662], [0.924, 0.621, 0.338], [0.000, 0.000, 0.000], [0.379, 0.303, 0.338], [0.333, 0.667, 0.858], [0.303, 0.924, 0.662]]}

---

(9)
{"formula": "Ba3B6O11F2", "functional": "PBE", "state": "optimized geometry", "spacegroup": "P2_1", "raw_formation_energy_ev_per_atom": -2.819, "cell": [[-6.768, 3.453, -4.021], [-0.189, -5.198, -4.145], [-5.992, -6.133, 4.819]], "species": ["F", "O", "O", "O", "B", "Ba", "B", "O", "O", "B", "O", "O", "B", "O", "B", "B", "B", "O", "B", "O", "O", "O", "B", "O", "O", "Ba", "B", "F", "B", "O", "Ba", "Ba", "O", "O", "O", "O", "F", "O", "B", "O", "Ba", "Ba", "O", "F"], "frac_coords": [[0.629, 0.869, 0.114], [0.891, 0.511, 0.235], [0.794, 0.618, 0.432], [0.747, 0.756, 0.633], [0.215, 0.421, 0.433], [0.415, 0.937, 0.533], [0.184, 0.792, 0.299], [0.545, 0.557, 0.542], [0.304, 0.323, 0.123], [0.684, 0.208, 0.701], [0.541, 0.784, 0.802], [0.758, 0.026, 0.761], [0.970, 0.412, 0.136], [0.041, 0.216, 0.198], [0.706, 0.806, 0.766], [0.715, 0.579, 0.567], [0.206, 0.194, 0.234], [0.090, 0.555, 0.052], [0.245, 0.504, 0.046], [0.804, 0.677, 0.877], [0.024, 0.786, 0.316], [0.294, 0.382, 0.568], [0.745, 0.496, 0.954], [0.524, 0.214, 0.684], [0.590, 0.445, 0.948], [0.915, 0.063, 0.467], [0.470, 0.588, 0.864], [0.129, 0.131, 0.886], [0.939, 0.580, 0.365], [0.344, 0.638, 0.961], [0.567, 0.505, 0.262], [0.416, 0.060, 0.955], [0.275, 0.621, 0.342], [0.391, 0.489, 0.765], [0.775, 0.379, 0.658], [0.844, 0.362, 0.039], [0.633, 0.139, 0.385], [0.045, 0.443, 0.458], [0.439, 0.420, 0.635], [0.258, 0.974, 0.239], [0.067, 0.495, 0.738], [0.916, 0.940, 0.045], [0.247, 0.244, 0.367], [0.133, 0.861, 0.615]]}

---

(10)
{"formula": "BaBOF2", "functional": "PBE", "state": "optimized geometry", "de_polymorph_kj_per_mol_fu": 606, "spacegroup": "P4/mmm", "raw_formation_energy_ev_per_atom": -0.631, "cell": [[-0.674, 4.101, -2.847], [-3.953, -2.193, -2.223], [-2.764, 1.756, 3.183]], "species": ["F", "F", "O", "B", "Ba"], "frac_coords": [[0.000, 0.500, 0.000], [0.500, 0.000, 0.000], [0.000, 0.000, 0.500], [0.500, 0.500, 0.500], [0.000, 0.000, 0.000]]}

---

(11)
{"formula": "BaBOF3", "functional": "PBE", "state": "optimized geometry", "spacegroup": "Pnma", "raw_formation_energy_ev_per_atom": -3.176, "cell": [[5.171, 0.000, 0.000], [0.000, 6.942, 0.000], [0.000, 0.000, 9.357]], "species": ["F", "Ba", "F", "Ba", "B", "Ba", "B", "O", "F", "O", "F", "F", "F", "B", "F", "F", "F", "O", "B", "O", "F", "Ba", "F", "F"], "frac_coords": [[0.750, 0.411, 0.063], [0.250, 0.324, 0.692], [0.974, 0.315, 0.429], [0.750, 0.676, 0.308], [0.250, 0.676, 0.079], [0.250, 0.176, 0.192], [0.750, 0.324, 0.921], [0.250, 0.564, 0.197], [0.474, 0.815, 0.071], [0.750, 0.064, 0.303], [0.026, 0.815, 0.071], [0.750, 0.089, 0.563], [0.474, 0.685, 0.571], [0.750, 0.176, 0.421], [0.250, 0.911, 0.437], [0.526, 0.185, 0.929], [0.526, 0.315, 0.429], [0.250, 0.936, 0.697], [0.250, 0.824, 0.579], [0.750, 0.436, 0.803], [0.250, 0.589, 0.937], [0.750, 0.824, 0.808], [0.974, 0.185, 0.929], [0.026, 0.685, 0.571]]}

---

(12)
{"formula": "BaBOF2", "functional": "PBE", "state": "optimized geometry", "de_polymorph_kj_per_mol_fu": 0, "spacegroup": "P4/mmm", "raw_formation_energy_ev_per_atom": -1.887, "cell": [[-2.441, 0.042, -3.842], [-1.869, -3.989, 1.144], [-2.361, 1.541, 1.516]], "species": ["Ba", "F", "O", "F", "B"], "frac_coords": [[0.500, 0.500, 0.500], [0.500, 0.000, 0.000], [0.000, 0.000, 0.500], [0.000, 0.500, 0.000], [0.000, 0.000, 0.000]]}

---

(13)
{"formula": "Ba3Sr4B3O9F5", "functional": "PBE", "state": "optimized geometry", "spacegroup": "P6_3mc", "raw_formation_energy_ev_per_atom": -3.159, "cell": [[7.114, 0.000, 0.000], [0.000, 10.884, 0.000], [0.000, -5.442, 9.426]], "species": ["O", "O", "O", "Sr", "Ba", "O", "Ba", "F", "Sr", "O", "Sr", "F", "O", "O", "O", "Ba", "O", "O", "F", "F", "O", "Sr", "F", "B", "F", "O", "O", "F", "Sr", "F", "Sr", "O", "O", "Ba", "Ba", "F", "B", "O", "Ba", "O", "O", "F", "Sr", "B", "B", "B", "Sr", "B"], "frac_coords": [[0.627, 0.834, 0.668], [0.348, 0.689, 0.091], [0.848, 0.091, 0.689], [0.162, 0.071, 0.536], [0.002, 0.281, 0.141], [0.348, 0.909, 0.311], [0.002, 0.859, 0.719], [0.487, 0.423, 0.577], [0.662, 0.536, 0.464], [0.348, 0.909, 0.598], [0.233, 0.667, 0.333], [0.487, 0.423, 0.845], [0.127, 0.166, 0.834], [0.348, 0.402, 0.091], [0.627, 0.332, 0.166], [0.502, 0.141, 0.859], [0.127, 0.166, 0.332], [0.848, 0.598, 0.909], [0.582, 0.667, 0.333], [0.987, 0.845, 0.423], [0.848, 0.091, 0.402], [0.662, 0.929, 0.464], [0.487, 0.155, 0.577], [0.442, 0.811, 0.189], [0.082, 0.333, 0.667], [0.848, 0.311, 0.402], [0.848, 0.311, 0.909], [0.987, 0.577, 0.423], [0.662, 0.536, 0.071], [0.912, 0.000, 0.000], [0.733, 0.333, 0.667], [0.848, 0.598, 0.689], [0.348, 0.689, 0.598], [0.002, 0.859, 0.141], [0.502, 0.719, 0.859], [0.412, 0.000, 0.000], [0.442, 0.811, 0.622], [0.348, 0.402, 0.311], [0.502, 0.141, 0.281], [0.627, 0.834, 0.166], [0.127, 0.668, 0.834], [0.987, 0.577, 0.155], [0.162, 0.464, 0.536], [0.942, 0.189, 0.811], [0.942, 0.189, 0.378], [0.442, 0.378, 0.189], [0.162, 0.464, 0.929], [0.942, 0.622, 0.811]]}

---

(14)
{"formula": "Ba5Zn2B4O12F2", "functional": "PBE", "state": "optimized geometry", "spacegroup": "C2/c", "raw_formation_energy_ev_per_atom": -2.676, "cell": [[-3.420, -4.111, 5.140], [3.421, -6.741, -3.115], [10.031, 6.389, 6.433]], "species": ["Ba", "O", "O", "O", "O", "O", "O", "F", "Ba", "Zn", "Zn", "B", "B", "O", "B", "Ba", "B", "B", "O", "O", "O", "B", "Ba", "O", "O", "Zn", "O", "Ba", "O", "B", "O", "F", "O", "O", "B", "O", "O", "O", "F", "O", "O", "Zn", "Ba", "O", "Ba", "Ba", "O", "Ba", "F", "Ba"], "frac_coords": [[0.076, 0.905, 0.336], [0.932, 0.408, 0.821], [0.078, 0.666, 0.447], [0.630, 0.834, 0.553], [0.792, 0.521, 0.230], [0.223, 0.539, 0.954], [0.269, 0.961, 0.046], [0.390, 0.351, 0.156], [0.534, 0.337, 0.850], [0.538, 0.018, 0.380], [0.157, 0.481, 0.620], [0.427, 0.273, 0.550], [0.883, 0.528, 0.152], [0.540, 0.224, 0.636], [0.573, 0.727, 0.450], [0.740, 0.595, 0.664], [0.877, 0.227, 0.450], [0.123, 0.773, 0.550], [0.904, 0.276, 0.364], [0.731, 0.039, 0.954], [0.438, 0.021, 0.230], [0.730, 0.972, 0.848], [0.466, 0.663, 0.150], [0.374, 0.440, 0.565], [0.096, 0.724, 0.636], [0.462, 0.982, 0.620], [0.626, 0.560, 0.435], [0.924, 0.095, 0.664], [0.191, 0.940, 0.565], [0.117, 0.472, 0.848], [0.777, 0.461, 0.046], [0.234, 0.149, 0.844], [0.809, 0.060, 0.435], [0.889, 0.908, 0.821], [0.270, 0.028, 0.152], [0.922, 0.334, 0.553], [0.562, 0.979, 0.770], [0.370, 0.166, 0.447], [0.766, 0.851, 0.156], [0.460, 0.776, 0.364], [0.208, 0.479, 0.770], [0.843, 0.519, 0.380], [0.260, 0.405, 0.336], [0.111, 0.092, 0.179], [0.684, 0.163, 0.150], [0.316, 0.837, 0.850], [0.068, 0.592, 0.179], [0.070, 0.250, 0.000], [0.610, 0.649, 0.844], [0.930, 0.750, 0.000]]}

---

(15)
{"formula": "BaBPF2", "functional": "PBE", "state": "optimized geometry", "spacegroup": "P4/mmm", "raw_formation_energy_ev_per_atom": -1.342, "cell": [[4.802, 0.000, 0.000], [0.000, 3.584, 0.000], [0.000, 0.000, 4.802]], "species": ["F", "B", "P", "F", "Ba"], "frac_coords": [[0.000, 0.000, 0.500], [0.000, 0.000, 0.000], [0.000, 0.500, 0.000], [0.500, 0.000, 0.000], [0.500, 0.500, 0.500]]}

---

(16)
{"formula": "BaBPF10", "functional": "PBE", "state": "optimized geometry", "spacegroup": "P-62m", "raw_formation_energy_ev_per_atom": -3.057, "cell": [[10.528, 0.000, 0.000], [-5.264, 9.118, 0.000], [0.000, 0.000, 6.261]], "species": ["F", "P", "P", "B", "F", "P", "F", "F", "F", "F", "F", "F", "F", "F", "F", "F", "F", "F", "B", "F", "F", "Ba", "F", "Ba", "F", "F", "Ba", "F", "F", "F", "F", "B", "F", "F", "F", "F", "F", "F", "F"], "frac_coords": [[0.128, 0.501, 0.314], [0.561, 0.561, 0.500], [0.000, 0.439, 0.500], [0.248, 0.248, 0.000], [0.171, 0.171, 0.815], [0.439, 0.000, 0.500], [0.611, 0.873, 0.000], [0.501, 0.128, 0.314], [0.373, 0.872, 0.686], [0.627, 0.499, 0.314], [0.263, 0.389, 0.000], [0.501, 0.128, 0.686], [0.000, 0.829, 0.815], [0.171, 0.171, 0.185], [0.499, 0.627, 0.686], [0.000, 0.829, 0.185], [0.872, 0.373, 0.314], [0.000, 0.284, 0.500], [0.752, 0.000, 0.000], [0.128, 0.501, 0.686], [0.737, 0.127, 0.000], [0.333, 0.667, 0.000], [0.873, 0.611, 0.000], [0.000, 0.000, 0.500], [0.373, 0.872, 0.314], [0.408, 0.408, 0.500], [0.667, 0.333, 0.000], [0.127, 0.737, 0.000], [0.716, 0.716, 0.500], [0.592, 0.000, 0.500], [0.499, 0.627, 0.314], [0.000, 0.752, 0.000], [0.829, 0.000, 0.815], [0.000, 0.592, 0.500], [0.389, 0.263, 0.000], [0.284, 0.000, 0.500], [0.627, 0.499, 0.686], [0.829, 0.000, 0.185], [0.872, 0.373, 0.686]]}

---

(17)
{"formula": "BaBPbF2", "functional": "PBE", "state": "optimized geometry", "spacegroup": "P4/mmm", "raw_formation_energy_ev_per_atom": -0.797, "cell": [[-0.455, -2.741, 3.855], [-5.626, -5.488, -4.566], [3.704, -2.615, -1.422]], "species": ["B", "F", "Ba", "F", "Pb"], "frac_coords": [[0.500, 0.500, 0.500], [0.500, 0.000, 0.000], [0.000, 0.000, 0.000], [0.000, 0.000, 0.500], [0.000, 0.500, 0.000]]}